First-principles (PBE) data for a relaxed Sr2In3Ag4 crystal, as listed in Alexandria.

Computed properties:
Fermi-level density of states = 0.457 states/eV/atom
space-group type = Cmce (64)
uncorrected energy = -50.773 eV per cell
calculated volume = 453.21 Å³/cell
ρ = 6970 kg/m3

Unit cell a=6.3362 b=8.1788 c=9.3016 alpha=90.00 beta=109.91 gamma=90.00
With the nearest neighbours (Å) after each atom.
Fractional coordinates of all 18 atoms:
In  0.5132  0.7500  0.5265  5 Ag 2.91-3.01, 2 In 3.17
In  0.4868  0.2500  0.4735  5 Ag 2.91-3.01, 2 In 3.17
In  0.5000  0.5000  0.0000  6 Ag 2.87-2.94
In  0.0132  0.7500  0.5265  5 Ag 2.91-3.01, 2 In 3.17
In  0.9868  0.2500  0.4735  5 Ag 2.91-3.01, 2 In 3.17
In  0.0000  0.0000  0.0000  6 Ag 2.87-2.94
Sr  0.1019  0.5983  0.2038  7 Ag 3.31-3.63, 2 In 3.47
Sr  0.3981  0.0983  0.7962  7 Ag 3.31-3.63, 2 In 3.47
Sr  0.8981  0.4017  0.7962  7 Ag 3.31-3.63, 2 In 3.47
Sr  0.6019  0.9017  0.2038  7 Ag 3.31-3.63, 2 In 3.47
Ag  0.1795  0.7500  0.8590  3 In 2.87-2.91, 4 Ag 3.17
Ag  0.6679  0.5126  0.3357  5 In 2.93-3.01, 2 Ag 3.17
Ag  0.3205  0.2500  0.1410  3 In 2.87-2.91, 4 Ag 3.17
Ag  0.1679  0.9874  0.3357  5 In 2.93-3.01, 2 Ag 3.17
Ag  0.6795  0.7500  0.8590  3 In 2.87-2.91, 4 Ag 3.17
Ag  0.8321  0.0126  0.6643  5 In 2.93-3.01, 2 Ag 3.17
Ag  0.3321  0.4874  0.6643  5 In 2.93-3.01, 2 Ag 3.17
Ag  0.8205  0.2500  0.1410  3 In 2.87-2.91, 4 Ag 3.17